No. 1
VASP calculation (PBE) on an optimized crystal structure of CuHg3.

SG: Pmmn (59)
Energy above the most stable polymorph in this dataset: 0.16 eV per formula unit
Total energy: -1.09 eV per atom
E_form: 15 kJ/mol of atoms

Cell and atoms, written as POSCAR:
```
CuHg3
1.0
-2.083 2.052 -1.910
-1.009 -4.083 -3.286
-7.915 -2.675 5.755
Hg Cu
6 2
direct
0.746 0.000 0.500
0.248 0.500 0.700
0.254 0.500 0.000
0.752 0.000 0.800
0.752 0.000 0.200
0.248 0.500 0.300
0.252 0.000 0.000
0.748 0.500 0.500
```

---

No. 2
VASP calculation (PBE) on an optimized crystal structure of CuHg.

SG: I4/m (87)
Total energy: -1.88 eV per atom
E_form: 31 kJ/mol of atoms

Cell and atoms, written as POSCAR:
```
CuHg
1.0
11.893 0.000 0.000
0.000 11.893 0.000
0.000 0.000 2.909
Hg Cu
8 8
direct
0.266 0.951 0.500
0.766 0.451 0.000
0.549 0.766 0.000
0.734 0.049 0.500
0.234 0.549 0.000
0.951 0.734 0.500
0.049 0.266 0.500
0.451 0.234 0.000
0.168 0.737 0.500
0.737 0.832 0.500
0.263 0.168 0.500
0.332 0.763 0.000
0.237 0.332 0.000
0.668 0.237 0.000
0.763 0.668 0.000
0.832 0.263 0.500
```

---

No. 3
VASP calculation (PBE) on an optimized crystal structure of Cu2Hg.

SG: Cmcm (63)
Total energy: -2.66 eV per atom
E_form: 17 kJ/mol of atoms

Cell and atoms, written as POSCAR:
```
Cu2Hg
1.0
-2.576 5.740 -2.993
-0.278 -6.464 2.587
-1.009 1.681 4.093
Hg Cu
2 4
direct
0.396 0.604 0.750
0.604 0.396 0.250
0.274 0.726 0.250
0.071 0.929 0.750
0.929 0.071 0.250
0.726 0.274 0.750
```

---

No. 4
VASP calculation (PBE) on an optimized crystal structure of Cu3Hg.

SG: P-6m2 (187)
Total energy: -2.89 eV per atom
E_form: 25 kJ/mol of atoms

Cell and atoms, written as POSCAR:
```
Cu3Hg
1.0
-0.693 2.672 -0.742
-2.040 -1.985 0.261
-0.931 2.037 8.207
Cu Hg
3 1
direct
0.000 0.000 0.474
0.333 0.667 0.250
0.000 0.000 0.026
0.333 0.667 0.750
```

---

No. 5
VASP calculation (PBE) on an optimized crystal structure of Cu2Hg.

SG: P-62m (189)
Total energy: -2.62 eV per atom
E_form: 20 kJ/mol of atoms

Cell and atoms, written as POSCAR:
```
Cu2Hg
1.0
-0.802 2.996 3.999
-3.833 -2.628 -2.001
0.864 -3.239 2.600
Cu Hg
4 2
direct
0.000 0.000 0.500
0.706 0.000 0.000
0.294 0.294 0.000
0.000 0.706 0.000
0.667 0.333 0.500
0.333 0.667 0.500
```

---

No. 6
VASP calculation (PBE) on an optimized crystal structure of CuHg3.

SG: Imm2 (44)
Energy above the most stable polymorph in this dataset: 0.19 eV per formula unit
Total energy: -1.08 eV per atom
E_form: 16 kJ/mol of atoms

Cell and atoms, written as POSCAR:
```
CuHg3
1.0
-1.332 2.599 4.584
-5.074 -1.847 0.625
5.168 -1.684 0.001
Cu Hg
1 3
direct
0.932 0.000 0.932
0.354 0.698 0.657
0.959 0.302 0.657
0.588 0.500 0.088
```

---

No. 7
VASP calculation (PBE) on an optimized crystal structure of Cu2Hg.

SG: P-6m2 (187)
Total energy: -2.57 eV per atom
E_form: 26 kJ/mol of atoms

Cell and atoms, written as POSCAR:
```
Cu2Hg
1.0
1.472 -2.549 0.000
1.472 2.549 0.000
0.000 0.000 12.700
Hg Cu
2 4
direct
0.667 0.333 0.324
0.667 0.333 0.676
0.000 0.000 0.500
0.000 0.000 0.854
0.667 0.333 0.000
0.000 0.000 0.146
```

---

No. 8
VASP calculation (PBE) on an optimized crystal structure of CuHg.

SG: Fm-3m (225)
Total energy: -1.87 eV per atom
E_form: 32 kJ/mol of atoms

Cell and atoms, written as POSCAR:
```
CuHg
1.0
3.797 0.000 0.000
1.899 3.289 0.000
1.899 1.096 3.101
Hg Cu
1 1
direct
0.500 0.500 0.500
0.000 0.000 0.000
```

---

No. 9
VASP calculation (PBE) on an optimized crystal structure of Cu2Hg.

SG: P4/nmm (129)
Total energy: -2.66 eV per atom
E_form: 17 kJ/mol of atoms

Cell and atoms, written as POSCAR:
```
Cu2Hg
1.0
3.797 0.000 0.000
0.000 3.797 0.000
0.000 0.000 6.651
Cu Hg
4 2
direct
0.000 0.500 0.742
0.000 0.000 0.000
0.500 0.000 0.258
0.500 0.500 0.000
0.500 0.000 0.671
0.000 0.500 0.329
```

---

No. 10
VASP calculation (PBE) on an optimized crystal structure of CuHg2.

SG: P-6m2 (187)
Total energy: -1.36 eV per atom
E_form: 20 kJ/mol of atoms

Cell and atoms, written as POSCAR:
```
CuHg2
1.0
0.498 1.686 -2.702
-1.604 1.332 2.459
11.649 4.674 5.065
Hg Cu
4 2
direct
0.667 0.333 0.700
0.667 0.333 0.000
0.000 0.000 0.500
0.667 0.333 0.300
0.000 0.000 0.850
0.000 0.000 0.150
```

---

No. 11
VASP calculation (PBE) on an optimized crystal structure of CuHg6.

SG: Im-3m (229)
Total energy: -0.32 eV per atom
E_form: 51 kJ/mol of atoms

Cell and atoms, written as POSCAR:
```
CuHg6
1.0
7.294 0.000 0.000
-2.431 6.877 0.000
-2.431 -3.438 5.955
Cu Hg
1 6
direct
0.000 0.000 0.000
0.750 0.500 0.250
0.250 0.750 0.500
0.750 0.250 0.500
0.500 0.250 0.750
0.250 0.500 0.750
0.500 0.750 0.250
```

---

No. 12
VASP calculation (PBE) on an optimized crystal structure of CuHg2.

SG: P-31m (162)
Total energy: -1.37 eV per atom
E_form: 19 kJ/mol of atoms

Cell and atoms, written as POSCAR:
```
CuHg2
1.0
3.026 -5.241 0.000
3.026 5.241 0.000
0.000 0.000 6.797
Hg Cu
6 3
direct
0.655 0.000 0.767
0.345 0.000 0.233
0.000 0.345 0.233
0.000 0.655 0.767
0.655 0.655 0.233
0.345 0.345 0.767
0.667 0.333 0.500
0.000 0.000 0.000
0.333 0.667 0.500
```

---

Calculated volume (Å³/f.u.)
94.55 51.44 45.92 60.19 47.04 89.94 47.65 38.72 47.95 60.93 298.68 71.86
M_tot (μB per formula unit)
0.000 0.000 0.000 0.000 0.000 0.000 0.000 0.000 0.000 0.000 0.357 0.000